Compound: HfHBr
Source: Alexandria via LeMat-Bulk
Functional: GGA-PBE
Structure: optimized geometry

Lattice parameters (Å, degrees): 3.330 3.839 9.458 91.12 90.00 90.00
Positions (direct):
H1 0.750 0.260 0.480
H2 0.250 0.740 0.520
Br1 0.250 0.753 0.175
Br2 0.750 0.247 0.825
Hf1 0.250 0.239 0.604
Hf2 0.750 0.761 0.396

Values from the calculation:
Magnetization (μB/f.u.): 0.000
Space group: P2_1/m (11)
Uncorrected energy (eV per atom): -5.63

---

Compound: InCu2Hg2
Source: Alexandria via LeMat-Bulk
Functional: GGA-PBE
Structure: optimized geometry

Lattice parameters (Å, degrees): 4.165 4.165 6.748 72.03 72.03 90.00
Positions (direct):
Hg1 0.250 0.750 0.500
Hg2 0.750 0.250 0.500
Cu1 0.597 0.597 0.806
Cu2 0.403 0.403 0.194
In1 0.000 0.000 0.000

Values from the calculation:
Magnetization (μB/f.u.): 0.000
Space group: I4/mmm (139)
Energy relative to the lowest polymorph listed for this composition (meV/atom): 94
Uncorrected energy (eV per atom): -2.06

---

Compound: Nd8Sm2Ho
Source: Alexandria via LeMat-Bulk
Functional: GGA-PBE
Structure: optimized geometry

Lattice parameters (Å, degrees): 9.436 10.233 10.233 43.02 40.17 40.17
Positions (direct):
Nd1 0.138 0.784 0.350
Nd2 0.386 0.308 0.308
Nd3 0.732 0.321 0.321
Nd4 0.862 0.216 0.650
Nd5 0.862 0.650 0.216
Nd6 0.614 0.692 0.692
Nd7 0.138 0.350 0.784
Nd8 0.268 0.679 0.679
Sm1 0.652 0.859 0.859
Sm2 0.348 0.141 0.141
Ho1 0.000 0.000 0.000

Values from the calculation:
Magnetization (μB/f.u.): 0.000
Space group: C2/m (12)
Energy relative to the lowest polymorph listed for this composition (meV/atom): 0
Uncorrected energy (eV per atom): -4.62

---

Compound: PRhF
Source: Alexandria via LeMat-Bulk
Functional: GGA-PBE
Structure: optimized geometry

Lattice parameters (Å, degrees): 3.950 3.953 6.817 84.06 84.90 88.86
Positions (direct):
P1 0.012 0.133 0.233
P2 0.457 0.568 0.603
Rh1 0.987 0.603 0.404
Rh2 0.487 0.103 0.404
F1 0.633 0.334 0.781
F2 0.228 0.740 0.781

Values from the calculation:
Energy relative to the elements, uncorrected (meV/atom): -1209
Magnetization (μB/f.u.): 0.000
Space group: P1 (1)
Energy relative to the lowest polymorph listed for this composition (meV/atom): 82
Uncorrected energy (eV per atom): -6.09

---

Compound: La7TeBr12
Source: Alexandria via LeMat-Bulk
Functional: GGA-PBE
Structure: optimized geometry

Lattice parameters (Å, degrees): 9.718 9.718 9.718 108.33 108.33 108.33
Each line ends with the local moment (μB).
Positions (direct):
Br1 0.692 0.222 0.077  0.00
Br2 0.077 0.692 0.222  0.00
Br3 0.163 0.395 0.482  0.00
Br4 0.518 0.837 0.605  0.00
Br5 0.923 0.308 0.778  0.00
Br6 0.778 0.923 0.308  0.00
Br7 0.308 0.778 0.923  0.00
Br8 0.482 0.163 0.395  0.00
Br9 0.837 0.605 0.518  0.00
Br10 0.395 0.482 0.163  0.00
Br11 0.605 0.518 0.837  0.00
Br12 0.222 0.077 0.692  0.00
La1 0.500 0.500 0.500  0.10
La2 0.657 0.874 0.954  0.01
La3 0.954 0.657 0.874  0.01
La4 0.126 0.046 0.343  0.01
La5 0.874 0.954 0.657  0.01
La6 0.343 0.126 0.046  0.01
La7 0.046 0.343 0.126  0.01
Te1 0.000 0.000 0.000  0.00

Values from the calculation:
Energy relative to the elements, uncorrected (meV/atom): -1761
Magnetization (μB/f.u.): 0.234
Space group: R-3 (148)
Uncorrected energy (eV per atom): -4.65

---

Compound: NpAl2Ge2
Source: Alexandria via LeMat-Bulk
Functional: GGA-PBE
Structure: optimized geometry

Lattice parameters (Å, degrees): 4.110 4.066 11.378 90.00 100.40 90.00
Each line ends with the local moment (μB).
Positions (direct):
Ge1 0.249 0.750 0.499  -0.01
Ge2 0.865 0.750 0.730  -0.01
Ge3 0.135 0.250 0.270  -0.01
Ge4 0.751 0.250 0.501  -0.01
Np1 0.648 0.750 0.295  3.55
Np2 0.352 0.250 0.705  3.55
Al1 0.956 0.250 0.912  0.00
Al2 0.044 0.750 0.088  0.00
Al3 0.457 0.750 0.915  -0.01
Al4 0.543 0.250 0.085  -0.01

Values from the calculation:
Magnetization (μB/f.u.): 3.798
Space group: Cmcm (63)
Uncorrected energy (eV per atom): -6.04

---

Compound: BeAgAu2
Source: Alexandria via LeMat-Bulk
Functional: GGA-PBE
Structure: optimized geometry

Lattice parameters (Å, degrees): 4.781 4.781 4.781 129.19 129.19 74.70
Positions (direct):
Be1 0.250 0.750 0.500
Au1 0.500 0.500 0.000
Au2 0.000 0.000 0.000
Ag1 0.750 0.250 0.500

Values from the calculation:
Magnetization (μB/f.u.): 0.000
Space group: I4/mmm (139)
Uncorrected energy (eV per atom): -3.19

---

Compound: Ce2NdY
Source: Alexandria via LeMat-Bulk
Functional: GGA-PBE
Structure: optimized geometry

Lattice parameters (Å, degrees): 3.525 3.525 11.880 81.47 81.47 60.00
Each line ends with the local moment (μB).
Positions (direct):
Nd1 0.499 0.499 0.504  -0.01
Y1 0.668 0.668 0.997  -0.01
Ce1 0.083 0.083 0.752  0.44
Ce2 0.251 0.251 0.247  0.73

Values from the calculation:
Magnetization (μB/f.u.): 1.426
Space group: R3m (160)
Energy relative to the lowest polymorph listed for this composition (meV/atom): 0
Uncorrected energy (eV per atom): -5.66